Entry 1:
Compound: MgAlNiOs
Source: OQMD
Functional: PBE-GGA
Structure: relaxed

```
4
Lattice="0.000 3.036 3.036 3.036 0.000 3.036 3.036 3.036 0.000" Properties=species:S:1:pos:R:3 pbc="T T T"
Al 0.000 0.000 0.000
Mg 1.518 1.518 1.518
Ni 4.554 4.554 4.554
Os 3.036 3.036 3.036
```

Calculated values
Space-group type ... F-43m, No. 216
Magnetic moment ... 0.01 μB/cell
E ... -5.40 eV per atom

Entry 2:
Compound: MgAlNiPd
Source: OQMD
Functional: PBE-GGA
Structure: relaxed

```
4
Lattice="0.000 3.043 3.043 3.043 0.000 3.043 3.043 3.043 0.000" Properties=species:S:1:pos:R:3 pbc="T T T"
Al 0.000 0.000 0.000
Mg 3.043 3.043 3.043
Ni 4.564 4.564 4.564
Pd 1.521 1.521 1.521
```

Calculated values
Offset from the most stable computed form ... 0.0 meV/atom
Space-group type ... F-43m, No. 216
Magnetic moment ... 0.00 μB/cell
E ... -4.62 eV per atom

Entry 3:
Compound: MgAlReNi
Source: OQMD
Functional: PBE-GGA
Structure: relaxed

```
4
Lattice="-2.956 -2.882 1.266 -4.112 1.211 0.519 -3.017 -1.358 -2.774" Properties=species:S:1:pos:R:3 pbc="T T T"
Al 0.000 0.000 0.000
Mg -2.521 -0.757 -0.247
Ni -7.564 -2.272 -0.742
Re -5.042 -1.515 -0.494
```

Calculated values
Space-group type ... F-43m, No. 216
Magnetic moment ... 1.64 μB/cell
E ... -5.51 eV per atom

Entry 4:
Compound: MgAlTcNi
Source: OQMD
Functional: PBE-GGA
Structure: relaxed

```
4
Lattice="0.000 3.029 3.029 3.029 0.000 3.029 3.029 3.029 0.000" Properties=species:S:1:pos:R:3 pbc="T T T"
Al 0.000 0.000 0.000
Mg 3.029 3.029 3.029
Ni 4.544 4.544 4.544
Tc 1.515 1.515 1.515
```

Calculated values
Offset from the most stable computed form ... 0.0 meV/atom
Space-group type ... F-43m, No. 216
Magnetic moment ... 0.30 μB/cell
E ... -5.43 eV per atom

Question: What is the formula in the second record?
Answer: MgAlNiPd

Question: The highest magnetic moment belongs to which entry?
Answer: MgAlReNi

Question: What is the formula in the first record?
Answer: MgAlNiOs

Question: Which of these has the lowest E?
Answer: MgAlReNi